Record 1
# AlRe2Cl (GGA-PBEsol, relaxed)
data_AlRe2Cl
_space_group_name_H-M_alt 'P 1'
_space_group_IT_number 1
_space_group_name_Hall 'P 1'
_cell_length_a 4.3997
_cell_length_b 4.3997
_cell_length_c 4.3997
_cell_angle_alpha 60.00
_cell_angle_beta 60.00
_cell_angle_gamma 60.00
loop_
_atom_site_label
_atom_site_type_symbol
_atom_site_fract_x
_atom_site_fract_y
_atom_site_fract_z
Al1 Al 0.0000 0.0000 0.0000
Re1 Re 0.2500 0.2500 0.2500
Re2 Re 0.5000 0.5000 0.5000
Cl1 Cl 0.7500 0.7500 0.7500
# formation energy without anion corrections = 0.86 eV/atom
# size of the total moment = 0.13 μB/atom
# energy above the lowest structure with this stoichiometry = 0.268 eV per atom

Record 2
# Sc3Tl (GGA-PBEsol, relaxed)
data_Sc3Tl
_space_group_name_H-M_alt 'P 1'
_space_group_IT_number 1
_space_group_name_Hall 'P 1'
_cell_length_a 6.3017
_cell_length_b 6.3017
_cell_length_c 5.1655
_cell_angle_alpha 90.00
_cell_angle_beta 90.00
_cell_angle_gamma 120.00
loop_
_atom_site_label
_atom_site_type_symbol
_atom_site_fract_x
_atom_site_fract_y
_atom_site_fract_z
Sc1 Sc 0.1684 0.3368 0.2500
Sc2 Sc 0.1684 0.8316 0.2500
Sc3 Sc 0.3368 0.1684 0.7500
Sc4 Sc 0.6632 0.8316 0.2500
Sc5 Sc 0.8316 0.1684 0.7500
Sc6 Sc 0.8316 0.6632 0.7500
Tl1 Tl 0.3333 0.6667 0.7500
Tl2 Tl 0.6667 0.3333 0.2500
# energy relative to the elements = -0.262 eV per atom
# size of the total moment = 0.40 μB/atom

Record 3
# CoTcAu (GGA-PBEsol, relaxed)
data_CoTcAu
_space_group_name_H-M_alt 'P 1'
_space_group_IT_number 1
_space_group_name_Hall 'P 1'
_cell_length_a 2.6998
_cell_length_b 2.6998
_cell_length_c 6.5834
_cell_angle_alpha 90.00
_cell_angle_beta 90.00
_cell_angle_gamma 120.00
loop_
_atom_site_label
_atom_site_type_symbol
_atom_site_fract_x
_atom_site_fract_y
_atom_site_fract_z
Co1 Co 0.0000 0.0000 0.0000
Tc1 Tc 0.6667 0.3333 0.7111
Au1 Au 0.3333 0.6667 0.3408
# energy relative to the elements = 0.244 eV per atom
# size of the total moment = 0.38 μB/atom
# energy above the lowest structure with this stoichiometry = 0.000 eV per atom